## CoNiRu2 (PBE)

Data for a geometry-optimized CoNiRu2 structure.

Results
- Space group: P4/mmm, No. 123
- Calculated total energy: -7.561 eV/atom
- Energy of formation: 0.299 eV/atom

The structure in POSCAR format:
```
CoNiRu2
1.0
4.270 0.000 0.000
0.000 4.270 0.000
0.000 0.000 2.753
Co Ni Ru
1 1 2
Direct
0.000 0.000 0.000
0.500 0.500 0.000
0.000 0.500 0.500
0.500 0.000 0.500
```



## CoNiRu2 (PBE)

Data for a geometry-optimized CoNiRu2 structure.

Results
- Space group: Pmm2, No. 25
- Calculated total energy: -7.734 eV/atom
- Energy of formation: 0.126 eV/atom

The structure in POSCAR format:
```
CoNiRu2
1.0
2.652 0.000 0.000
0.000 3.671 0.000
0.000 0.000 5.146
Co Ni Ru
1 1 2
Direct
0.000 0.000 0.000
0.500 0.500 0.771
0.000 0.000 0.512
0.500 0.500 0.259
```



## CoNiRu2 (PBE)

Data for a geometry-optimized CoNiRu2 structure.

Results
- Space group: Pmmm, No. 47
- Calculated total energy: -7.699 eV/atom
- Energy of formation: 0.161 eV/atom

The structure in POSCAR format:
```
CoNiRu2
1.0
2.617 0.000 0.000
0.000 3.665 0.000
0.000 0.000 5.186
Co Ni Ru
1 1 2
Direct
0.000 0.000 0.000
0.000 0.000 0.500
0.500 0.500 0.249
0.500 0.500 0.751
```



## CoNi2Ru (PBE)

Data for a geometry-optimized CoNi2Ru structure.

Results
- Space group: R3m, No. 160
- Calculated total energy: -6.857 eV/atom
- Energy of formation: 0.129 eV/atom

The structure in POSCAR format:
```
CoNi2Ru
1.0
2.583 0.000 0.000
-1.291 2.237 0.000
0.000 0.000 24.667
Co Ni Ru
3 6 3
Direct
0.000 0.000 0.000
0.333 0.667 0.667
0.667 0.333 0.333
0.000 0.000 0.496
0.000 0.000 0.747
0.333 0.667 0.162
0.333 0.667 0.414
0.667 0.333 0.080
0.667 0.333 0.829
0.000 0.000 0.248
0.333 0.667 0.915
0.667 0.333 0.582
```



## CoNi2Ru (PBE)

Data for a geometry-optimized CoNi2Ru structure.

Results
- Space group: I4/mmm, No. 139
- Calculated total energy: -6.850 eV/atom
- Energy of formation: 0.136 eV/atom

The structure in POSCAR format:
```
CoNi2Ru
1.0
3.578 0.000 0.000
0.000 3.578 0.000
0.000 0.000 7.383
Co Ni Ru
2 4 2
Direct
0.000 0.000 0.000
0.500 0.500 0.500
0.000 0.500 0.250
0.000 0.500 0.750
0.500 0.000 0.250
0.500 0.000 0.750
0.000 0.000 0.500
0.500 0.500 0.000
```



## CoNi2Ru (PBE)

Data for a geometry-optimized CoNi2Ru structure.

Results
- Space group: P4/mmm, No. 123
- Calculated total energy: -6.740 eV/atom
- Energy of formation: 0.246 eV/atom

The structure in POSCAR format:
```
CoNi2Ru
1.0
4.327 0.000 0.000
0.000 4.327 0.000
0.000 0.000 2.578
Co Ni Ru
1 2 1
Direct
0.000 0.000 0.000
0.000 0.500 0.500
0.500 0.000 0.500
0.500 0.500 0.000
```



## CoNi2Ru (PBE)

Data for a geometry-optimized CoNi2Ru structure.

Results
- Space group: Cmmm, No. 65
- Calculated total energy: -6.857 eV/atom
- Energy of formation: 0.129 eV/atom

The structure in POSCAR format:
```
CoNi2Ru
1.0
5.087 0.000 0.000
0.000 7.390 0.000
0.000 0.000 2.526
Co Ni Ru
2 4 2
Direct
0.000 0.000 0.000
0.500 0.500 0.000
0.250 0.250 0.500
0.250 0.750 0.500
0.750 0.250 0.500
0.750 0.750 0.500
0.000 0.500 0.000
0.500 0.000 0.000
```



## CoNiRu2 (PBE)

Data for a geometry-optimized CoNiRu2 structure.

Results
- Space group: C2/m, No. 12
- Calculated total energy: -7.491 eV/atom
- Energy of formation: 0.369 eV/atom

The structure in POSCAR format:
```
CoNiRu2
1.0
5.200 0.000 0.000
0.000 8.668 0.000
-1.180 0.000 2.307
Co Ni Ru
2 2 4
Direct
0.000 0.000 0.000
0.500 0.500 0.000
0.000 0.500 0.000
0.500 0.000 0.000
0.250 0.250 0.500
0.250 0.750 0.500
0.750 0.250 0.500
0.750 0.750 0.500
```



no.,total moment (Bohr magnetons per cell),DOS(E_F) (states/eV/cell)
1,1.75,6.17
2,1.51,5.12
3,1.41,4.97
4,7.11,15.63
5,7.34,14.61
6,3.70,6.07
7,6.84,12.56
8,6.74,12.28